First-principles (PBE-GGA) data for a relaxed PmAsPd crystal, as listed in Alexandria.

E in eV per atom: -5.56
Formation enthalpy at 0 K in kJ/mol of formula units: -202

Cell lengths 5.0679, 5.0679, 18.6385 Å; angles 90.00, 90.00, 120.00 degrees
With the nearest neighbours (Å) after each atom.
Space group R-3m (No. 166, hexagonal axes)
Symmetry-distinct sites (fractional):
Pm (0.0000, 0.0000, 0.2399)  4 Pd 2.94-3.03, 4 As 2.95-3.10
As (0.0000, 0.0000, 0.4064)  3 Pd 2.93, 4 Pm 2.95-3.10
Pd (0.0000, 0.0000, 0.0771)  1 Pd 2.88, 3 As 2.93, 4 Pm 2.94-3.03



First-principles (PBE-GGA) data for a relaxed TiVMo2 crystal, as listed in Alexandria.

E in eV per atom: -9.08
Formation enthalpy at 0 K in kJ/mol of formula units: 228

Cell lengths 2.7102, 4.7653, 10.1952 Å; angles 90.00, 90.00, 90.00 degrees
With the nearest neighbours (Å) after each atom.
Space group Immm (No. 71)
Symmetry-distinct sites (fractional):
Ti (0.0000, 0.0000, 0.0000)  2 Mo 2.63, 2 Ti 2.71, 4 V 2.74
V (0.0000, 0.0000, 0.5000)  2 Mo 2.47, 2 V 2.71, 4 Ti 2.74
Mo (0.0000, 0.0000, 0.2580)  1 V 2.47, 1 Ti 2.63, 6 Mo 2.71-2.75



First-principles (PBE-GGA) data for a relaxed LaPm3Ga2 crystal, as listed in Alexandria.

E in eV per atom: -4.60
Formation enthalpy at 0 K in kJ/mol of formula units: -228

Cell lengths 5.1870, 9.7164, 6.7215 Å; angles 90.00, 90.00, 90.00 degrees
With the nearest neighbours (Å) after each atom.
Space group Pmc2_1 (No. 26)
Symmetry-distinct sites (fractional):
La (0.0000, 0.0512, 0.0000)  3 Ga 3.20, 3 Pm 3.48-3.54, 2 La 3.50
Pm (0.0000, 0.3327, 0.6645)  4 Ga 3.07-3.20
Pm (0.5000, 0.1729, 0.2967)  4 Ga 3.14-3.20, 1 Pm 3.46, 2 La 3.48
Pm (0.5000, 0.4446, 0.9644)  3 Ga 3.15, 5 Pm 3.46-3.53
Ga (0.0000, 0.3516, 0.1950)  6 Pm 3.07-3.20, 1 La 3.20
Ga (0.5000, 0.1516, 0.7633)  5 Pm 3.14-3.20, 2 La 3.20



Please write out number 3 again, unchanged.
First-principles (PBE-GGA) data for a relaxed LaPm3Ga2 crystal, as listed in Alexandria.

E in eV per atom: -4.60
Formation enthalpy at 0 K in kJ/mol of formula units: -228

Cell lengths 5.1870, 9.7164, 6.7215 Å; angles 90.00, 90.00, 90.00 degrees
With the nearest neighbours (Å) after each atom.
Space group Pmc2_1 (No. 26)
Symmetry-distinct sites (fractional):
La (0.0000, 0.0512, 0.0000)  3 Ga 3.20, 3 Pm 3.48-3.54, 2 La 3.50
Pm (0.0000, 0.3327, 0.6645)  4 Ga 3.07-3.20
Pm (0.5000, 0.1729, 0.2967)  4 Ga 3.14-3.20, 1 Pm 3.46, 2 La 3.48
Pm (0.5000, 0.4446, 0.9644)  3 Ga 3.15, 5 Pm 3.46-3.53
Ga (0.0000, 0.3516, 0.1950)  6 Pm 3.07-3.20, 1 La 3.20
Ga (0.5000, 0.1516, 0.7633)  5 Pm 3.14-3.20, 2 La 3.20